Entry from Alexandria via LeMat-Bulk: a relaxed structure of Ac2Sb2H4Ru (PBE-GGA).

Summary:
Its space-group type is I4/mmm, No. 139. The total energy comes out at -41.83 eV per cell.

Geometry as POSCAR:
```
Ac2Sb2H4Ru
1.0
-5.169 2.962 -1.601
3.223 -2.710 -4.508
-0.606 -5.144 3.350
Sb H Ac Ru
2 4 2 1
direct
0.000 0.675 0.675 Sb
0.000 0.325 0.325 Sb
0.000 0.192 0.808 H
0.383 0.192 0.192 H
0.000 0.808 0.192 H
0.617 0.808 0.808 H
0.500 0.250 0.750 Ac
0.500 0.750 0.250 Ac
0.000 0.000 0.000 Ru
```



Entry from Alexandria via LeMat-Bulk: a relaxed structure of SrNi2Pd (PBE-GGA).

Summary:
Its space-group type is I-42d, No. 122. The calculation puts the formation enthalpy at 0 K at 97 meV/atom. As for the energy above the lowest structure with this stoichiometry: 0 meV per atom. The total energy comes out at -36.10 eV per cell.

Geometry as POSCAR:
```
SrNi2Pd
1.0
4.485 0.000 0.000
0.000 4.485 0.000
2.242 2.242 8.670
Pd Sr Ni
2 2 4
direct
0.000 0.000 0.000 Pd
0.750 0.250 0.500 Pd
0.250 0.750 0.500 Sr
0.500 0.500 0.000 Sr
0.929 0.625 0.250 Ni
0.875 0.071 0.750 Ni
0.821 0.125 0.250 Ni
0.375 0.179 0.750 Ni
```



Entry from Alexandria via LeMat-Bulk: a relaxed structure of Zn2Ga2I (PBE-GGA).

Summary:
Its space-group type is I4/mmm, No. 139. Its energy relative to the elements, uncorrected is 115.9 meV per atom. The total energy comes out at -9.57 eV per cell.

Geometry as POSCAR:
```
Zn2Ga2I
1.0
4.557 0.000 0.000
0.000 4.557 0.000
2.279 2.279 5.613
Ga Zn I
2 2 1
direct
0.750 0.250 0.500 Ga
0.250 0.750 0.500 Ga
0.612 0.612 0.776 Zn
0.388 0.388 0.224 Zn
0.000 0.000 0.000 I
```



Entry from Alexandria via LeMat-Bulk: a relaxed structure of Na2SrCoH6 (PBE-GGA).

Summary:
Its space-group type is P-3m1, No. 164. The total energy comes out at -34.05 eV per cell.

Geometry as POSCAR:
```
Na2SrCoH6
1.0
-5.163 -2.399 2.400
-0.265 -3.303 -3.870
2.545 -1.238 4.236
H Na Co Sr
6 2 1 1
direct
0.850 0.717 0.858 H
0.150 0.283 0.142 H
0.850 0.142 0.283 H
0.150 0.858 0.142 H
0.850 0.142 0.858 H
0.150 0.858 0.717 H
0.098 0.333 0.667 Na
0.902 0.667 0.333 Na
0.000 0.000 0.000 Co
0.500 0.000 0.000 Sr
```



Entry from Alexandria via LeMat-Bulk: a relaxed structure of PuIn2Co (PBE-GGA).

Summary:
Its space-group type is P4/mmm, No. 123. The calculation puts the formation enthalpy at 0 K at -13 meV/atom. The total energy comes out at -26.97 eV per cell.

Geometry as POSCAR:
```
PuIn2Co
1.0
3.175 0.000 0.000
0.000 3.175 0.000
0.000 0.000 8.043
In Co Pu
2 1 1
direct
0.000 0.000 0.807 In
0.000 0.000 0.193 In
0.500 0.500 0.000 Co
0.500 0.500 0.500 Pu
```



Entry from Alexandria via LeMat-Bulk: a relaxed structure of K2RbY (PBE-GGA).

Summary:
Its space-group type is R-3m, No. 166. The calculation puts the formation enthalpy at 0 K at 453 meV/atom. As for the energy above the lowest structure with this stoichiometry: 0 meV per atom. The total energy comes out at -7.81 eV per cell.

Geometry as POSCAR:
```
K2RbY
1.0
-1.427 3.445 -1.433
-3.885 0.348 -0.864
-4.658 6.320 14.260
Rb Y K
1 1 2
direct
0.500 0.500 0.500 Rb
0.000 0.000 0.000 Y
0.922 0.922 0.234 K
0.078 0.078 0.766 K
```